1.
# PBE Pm2Tm5ThSc, optimized geometry
data_Pm2Tm5ThSc
_chemical_formula_sum 'Pm4 Tm10 Th2 Sc2'
_cell_length_a 11.5268
_cell_length_b 11.5268
_cell_length_c 9.1457
_cell_angle_alpha 90.00
_cell_angle_beta 90.00
_cell_angle_gamma 152.12
_space_group_name_H-M_alt 'P 1'
_space_group_IT_number 1
loop_
_space_group_symop_operation_xyz
'x,y,z'
loop_
_atom_site_label
_atom_site_fract_x
_atom_site_fract_y
_atom_site_fract_z
Pm1 0.1157 0.8843 0.5000
Pm2 0.1396 0.8604 0.9307
Pm3 0.8604 0.1396 0.4307
Pm4 0.8843 0.1157 0.0000
Tm1 0.0020 0.9980 0.2236
Tm2 0.2663 0.7337 0.5591
Tm3 0.2984 0.7016 0.9342
Tm4 0.3876 0.6124 0.2572
Tm5 0.4785 0.5215 0.9682
Tm6 0.5215 0.4785 0.4682
Tm7 0.6124 0.3876 0.7572
Tm8 0.7016 0.2984 0.4342
Tm9 0.7337 0.2663 0.0591
Tm10 0.9980 0.0020 0.7236
Th1 0.3982 0.6018 0.6654
Th2 0.6018 0.3982 0.1654
Sc1 0.2149 0.7851 0.2337
Sc2 0.7851 0.2149 0.7337
# Symmetry: Cmc2_1, No. 36
# Theoretical density (kg/m³): 8251
# Calculated volume (Å³/cell): 568.2
# DOS(E_F) (states/eV per cell): 23.9
# DFT total energy (eV/atom): -4.8966
# Formation enthalpy at 0 K (eV per atom): 0.1712


2.
# PBE BRuIN2, optimized geometry
data_BRuIN2
_chemical_formula_sum 'B1 Ru1 I1 N2'
_cell_length_a 3.8007
_cell_length_b 3.8007
_cell_length_c 5.7881
_cell_angle_alpha 90.00
_cell_angle_beta 90.00
_cell_angle_gamma 90.00
_space_group_name_H-M_alt 'P 1'
_space_group_IT_number 1
loop_
_space_group_symop_operation_xyz
'x,y,z'
loop_
_atom_site_label
_atom_site_fract_x
_atom_site_fract_y
_atom_site_fract_z
B1 0.0000 0.0000 0.0000
Ru1 0.5000 0.5000 0.5000
I1 0.5000 0.5000 0.0000
N1 0.0000 0.5000 0.5000
N2 0.5000 0.0000 0.5000
# Symmetry: P4/mmm, No. 123
# Theoretical density (kg/m³): 5299
# Calculated volume (Å³/cell): 83.6
# Offset from the most stable computed form (eV per atom): 0.000
# DOS(E_F) (states/eV per cell): 3.2
# DFT total energy (eV/atom): -5.2825
# Uncorrected formation energy (meV/atom): 1548.4


3.
# PBE NbHgIO2, optimized geometry
data_NbHgIO2
_chemical_formula_sum 'Nb1 Hg1 I1 O2'
_cell_length_a 4.2500
_cell_length_b 4.2500
_cell_length_c 6.0285
_cell_angle_alpha 90.00
_cell_angle_beta 90.00
_cell_angle_gamma 90.00
_space_group_name_H-M_alt 'P 1'
_space_group_IT_number 1
loop_
_space_group_symop_operation_xyz
'x,y,z'
loop_
_atom_site_label
_atom_site_fract_x
_atom_site_fract_y
_atom_site_fract_z
Nb1 0.0000 0.0000 0.0000
Hg1 0.5000 0.5000 0.5000
I1 0.5000 0.5000 0.0000
O1 0.0000 0.5000 0.5000
O2 0.5000 0.0000 0.5000
# Symmetry: P4/mmm, No. 123
# Theoretical density (kg/m³): 6899
# Calculated volume (Å³/cell): 108.9
# Offset from the most stable computed form (eV per atom): 1.808
# DOS(E_F) (states/eV per cell): 5.7
# DFT total energy (eV/atom): -3.5815
# Uncorrected formation energy (meV/atom): 786.1


4.
# PBE Ac2TmSn4, optimized geometry
data_Ac2TmSn4
_chemical_formula_sum 'Ac4 Tm2 Sn8'
_cell_length_a 6.4327
_cell_length_b 6.6624
_cell_length_c 10.5569
_cell_angle_alpha 90.00
_cell_angle_beta 103.28
_cell_angle_gamma 90.00
_space_group_name_H-M_alt 'P 1'
_space_group_IT_number 1
loop_
_space_group_symop_operation_xyz
'x,y,z'
loop_
_atom_site_label
_atom_site_fract_x
_atom_site_fract_y
_atom_site_fract_z
Ac1 0.1422 0.2500 0.4132
Ac2 0.3208 0.7500 0.9956
Ac3 0.6792 0.2500 0.0044
Ac4 0.8578 0.7500 0.5868
Tm1 0.0759 0.2500 0.8027
Tm2 0.9241 0.7500 0.1973
Sn1 0.2030 0.2500 0.1033
Sn2 0.3155 0.7500 0.4322
Sn3 0.4014 0.5066 0.7090
Sn4 0.4014 0.9934 0.7090
Sn5 0.5986 0.0066 0.2910
Sn6 0.5986 0.4934 0.2910
Sn7 0.6845 0.2500 0.5678
Sn8 0.7970 0.7500 0.8967
# Symmetry: P2_1/m, No. 11
# Theoretical density (kg/m³): 8279
# Calculated volume (Å³/cell): 440.3
# DOS(E_F) (states/eV per cell): 9.3
# DFT total energy (eV/atom): -4.6029
# Formation enthalpy at 0 K (eV per atom): -0.5029


5.
# PBE LaMnSi3, optimized geometry
data_LaMnSi3
_chemical_formula_sum 'La1 Mn1 Si3'
_cell_length_a 4.5269
_cell_length_b 4.5269
_cell_length_c 4.5269
_cell_angle_alpha 90.00
_cell_angle_beta 90.00
_cell_angle_gamma 90.00
_space_group_name_H-M_alt 'P 1'
_space_group_IT_number 1
loop_
_space_group_symop_operation_xyz
'x,y,z'
loop_
_atom_site_label
_atom_site_fract_x
_atom_site_fract_y
_atom_site_fract_z
La1 0.0000 0.0000 0.0000
Mn1 0.5000 0.5000 0.5000
Si1 0.0000 0.5000 0.5000
Si2 0.5000 0.0000 0.5000
Si3 0.5000 0.5000 0.0000
# Symmetry: Pm-3m, No. 221
# Theoretical density (kg/m³): 4978
# Calculated volume (Å³/cell): 92.8
# DOS(E_F) (states/eV per cell): 3.8
# DFT total energy (eV/atom): -6.2665
# Uncorrected formation energy (meV/atom): -193.3


6.
# PBE Er4MgIr2, optimized geometry
data_Er4MgIr2
_chemical_formula_sum 'Er8 Mg2 Ir4'
_cell_length_a 7.3069
_cell_length_b 7.3108
_cell_length_c 7.5563
_cell_angle_alpha 94.93
_cell_angle_beta 108.00
_cell_angle_gamma 102.93
_space_group_name_H-M_alt 'P 1'
_space_group_IT_number 1
loop_
_space_group_symop_operation_xyz
'x,y,z'
loop_
_atom_site_label
_atom_site_fract_x
_atom_site_fract_y
_atom_site_fract_z
Er1 0.0000 0.0000 0.0000
Er2 0.0228 0.5066 0.0739
Er3 0.1298 0.9809 0.5885
Er4 0.2794 0.5321 0.6139
Er5 0.4652 0.3756 0.0121
Er6 0.4905 0.8542 0.0726
Er7 0.6315 0.9539 0.6027
Er8 0.7547 0.5110 0.5748
Mg1 0.3638 0.2130 0.3491
Mg2 0.8576 0.2059 0.3361
Ir1 0.0101 0.2624 0.7424
Ir2 0.1123 0.7270 0.8209
Ir3 0.4254 0.6020 0.3207
Ir4 0.6819 0.6723 0.8756
# Symmetry: P1, No. 1
# Theoretical density (kg/m³): 9703
# Calculated volume (Å³/cell): 368.9
# DOS(E_F) (states/eV per cell): 9.7
# DFT total energy (eV/atom): -5.8589
# Formation enthalpy at 0 K (eV per atom): -0.4920